## NdVIO4 (PBE+U)

Data for a relaxed structure of NdVIO4.

The value obtained for the magnetization is 0.00 μB/f.u. As for the energy: -6.97 eV/atom.

a = 6.9511 Å, b = 6.9511 Å, c = 6.9698 Å
α = 79.10°, β = 79.10°, γ = 56.11°
Positions (direct):
I 0.9653 0.9653 0.6956
I 0.0347 0.0347 0.3044
O 0.6969 0.6969 0.5029
O 0.1154 0.5318 0.1227
O 0.8846 0.4682 0.8773
O 0.5318 0.1154 0.1227
O 0.3031 0.3031 0.4971
O 0.4906 0.4906 0.7700
O 0.5094 0.5094 0.2300
O 0.4682 0.8846 0.8773
V 0.3679 0.3679 0.2536
V 0.6321 0.6321 0.7464
Nd 0.7036 0.7036 0.1681
Nd 0.2964 0.2964 0.8319